# TmSb2Pd9 PBE optimized geometry
# ΔE_f (raw) (eV/atom): -0.56
# Energy (eV/atom): -5.517
data_TmSb2Pd9
_chemical_formula_sum 'Tm1 Sb2 Pd9'
_cell_length_a 4.071
_cell_length_b 4.071
_cell_length_c 12.169
_cell_angle_alpha 90.00
_cell_angle_beta 90.00
_cell_angle_gamma 90.00
_space_group_name_H-M_alt 'P 4/m m m'
_space_group_IT_number 123
_space_group_name_Hall '-P 4 2'
loop_
_atom_site_label
_atom_site_fract_x
_atom_site_fract_y
_atom_site_fract_z
_atom_site_occupancy
Tm1 0.000 0.000 0.000 1
Sb1 0.000 0.000 0.332 1
Pd1 0.000 0.500 0.171 1
Pd2 0.000 0.500 0.500 1
Pd3 0.500 0.500 0.000 1
Pd4 0.500 0.500 0.338 1